# KCr2Rh

Crystalline KCr2Rh at its relaxed geometry (PBE-GGA, Alexandria via LeMat-Bulk).

Properties
Spin magnetization: 0.00 μB per formula unit
Distance to the lowest polymorph of the same formula: 145.9 meV per atom
Space-group type: No. 12
Calculated volume: 168.6 Å³/cell
Density: 4846 kg/m3

Cell lengths 9.216, 2.904, 6.334 Å; angles 90.00, 95.94, 90.00 degrees
Positions (direct):
K 0.000 0.000 0.000
K 0.500 0.500 0.000
Cr 0.222 0.000 0.607
Cr 0.278 0.500 0.393
Cr 0.722 0.500 0.607
Cr 0.778 0.000 0.393
Rh 0.000 0.500 0.500
Rh 0.500 0.000 0.500